## Na4VIn3O8 (GGA+U)

Data for an optimized crystal structure of Na4VIn3O8.

```
Na4VIn3O8
1.0
3.2388 1.8699 5.5048
-3.2388 1.8699 5.5048
0.0000 -3.7399 5.5048
Na V In O
4 1 3 8
direct
0.0000 0.0000 0.0000
0.0000 0.5000 0.5000
0.5000 0.0000 0.5000
0.5000 0.5000 0.0000
0.5000 0.5000 0.5000
0.0000 0.0000 0.5000
0.0000 0.5000 0.0000
0.5000 0.0000 0.0000
0.2384 0.2384 0.2384
0.2510 0.7288 0.7288
0.2712 0.2712 0.7490
0.2712 0.7490 0.2712
0.7288 0.2510 0.7288
0.7288 0.7288 0.2510
0.7490 0.2712 0.2712
0.7616 0.7616 0.7616
```

Computed properties:
E_tot ... -5.490 eV/atom